1.
## Ba2SrTlRh (PBE)

Data for an optimized crystal structure of Ba2SrTlRh.

The space group is P4/mmm (No. 123) and the conventional cell measures 6.055, 6.055 and 5.519 Å, with angles of 90.00, 90.00 and 90.00 degrees. Symmetry generates all atoms from Ba at (0.000, 0.500, 0.000), Sr at (0.000, 0.000, 0.500), Tl at (0.500, 0.500, 0.500) and Rh at (0.500, 0.500, 0.000).

2.
## BaSrTl2Rh (PBE)

Data for an optimized crystal structure of BaSrTl2Rh.

The space group is P4/mmm (No. 123) and the conventional cell measures 5.487, 5.487 and 5.695 Å, with angles of 90.00, 90.00 and 90.00 degrees. Symmetry generates all atoms from Ba at (0.000, 0.000, 0.000), Sr at (0.500, 0.500, 0.000), Tl at (0.000, 0.500, 0.500) and Rh at (0.000, 0.000, 0.500).

3.
## BaSrTl2Rh (PBE)

Data for an optimized crystal structure of BaSrTl2Rh.

The space group is P4/mmm (No. 123) and the conventional cell measures 5.458, 5.458 and 5.520 Å, with angles of 90.00, 90.00 and 90.00 degrees. Symmetry generates all atoms from Ba at (0.000, 0.000, 0.000), Sr at (0.500, 0.500, 0.000), Tl at (0.000, 0.500, 0.500) and Rh at (0.500, 0.500, 0.500).

4.
## Ba2SrTlRh (PBE)

Data for an optimized crystal structure of Ba2SrTlRh.

The space group is P4/mmm (No. 123) and the conventional cell measures 6.000, 6.000 and 5.839 Å, with angles of 90.00, 90.00 and 90.00 degrees. Symmetry generates all atoms from Ba at (0.000, 0.500, 0.000), Sr at (0.000, 0.000, 0.500), Tl at (0.500, 0.500, 0.500) and Rh at (0.000, 0.000, 0.000).

5.
## BaSrY2Rh (PBE)

Data for an optimized crystal structure of BaSrY2Rh.

The space group is P4/mmm (No. 123) and the conventional cell measures 5.508, 5.508 and 6.149 Å, with angles of 90.00, 90.00 and 90.00 degrees. Symmetry generates all atoms from Ba at (0.000, 0.000, 0.000), Sr at (0.500, 0.500, 0.000), Y at (0.000, 0.500, 0.500) and Rh at (0.500, 0.500, 0.500).

6.
## Ba2SrYRh (PBE)

Data for an optimized crystal structure of Ba2SrYRh.

The space group is P4/mmm (No. 123) and the conventional cell measures 6.294, 6.294 and 5.476 Å, with angles of 90.00, 90.00 and 90.00 degrees. Symmetry generates all atoms from Ba at (0.000, 0.500, 0.000), Sr at (0.000, 0.000, 0.500), Y at (0.500, 0.500, 0.500) and Rh at (0.500, 0.500, 0.000).

7.
## BaSrY2Rh (PBE)

Data for an optimized crystal structure of BaSrY2Rh.

The space group is P4/mmm (No. 123) and the conventional cell measures 5.535, 5.535 and 6.245 Å, with angles of 90.00, 90.00 and 90.00 degrees. Symmetry generates all atoms from Ba at (0.000, 0.000, 0.000), Sr at (0.500, 0.500, 0.000), Y at (0.000, 0.500, 0.500) and Rh at (0.000, 0.000, 0.500).

8.
## BaSrZnRh (PBE)

Data for an optimized crystal structure of BaSrZnRh.

The space group is R3m (No. 160, hexagonal axes) and the conventional cell measures 4.4536, 4.4536 and 24.3564 Å, with angles of 90.00, 90.00 and 120.00 degrees. Symmetry generates all atoms from Ba at (0.0000, 0.0000, 0.0000), Sr at (0.0000, 0.0000, 0.8323), Zn at (0.0000, 0.0000, 0.5782) and Rh at (0.0000, 0.0000, 0.2462).

9.
## Ba2SrZnRh (PBE)

Data for an optimized crystal structure of Ba2SrZnRh.

The space group is P4/mmm (No. 123) and the conventional cell measures 6.021, 6.021 and 5.823 Å, with angles of 90.00, 90.00 and 90.00 degrees. Symmetry generates all atoms from Ba at (0.000, 0.500, 0.000), Sr at (0.000, 0.000, 0.500), Zn at (0.500, 0.500, 0.500) and Rh at (0.000, 0.000, 0.000).

10.
## BaSrZn2Rh (PBE)

Data for an optimized crystal structure of BaSrZn2Rh.

The space group is P4/mmm (No. 123) and the conventional cell measures 5.138, 5.138 and 5.375 Å, with angles of 90.00, 90.00 and 90.00 degrees. Symmetry generates all atoms from Ba at (0.000, 0.000, 0.000), Sr at (0.500, 0.500, 0.000), Zn at (0.000, 0.500, 0.500) and Rh at (0.500, 0.500, 0.500).

11.
## Ba2SrZnRh (PBE)

Data for an optimized crystal structure of Ba2SrZnRh.

The space group is P4/mmm (No. 123) and the conventional cell measures 6.108, 6.108 and 5.099 Å, with angles of 90.00, 90.00 and 90.00 degrees. Symmetry generates all atoms from Ba at (0.000, 0.500, 0.000), Sr at (0.000, 0.000, 0.500), Zn at (0.500, 0.500, 0.500) and Rh at (0.500, 0.500, 0.000).

12.
## Ba4TaRh (PBE)

Data for an optimized crystal structure of Ba4TaRh.

The space group is F-43m (No. 216) and the conventional cell measures 9.660, 9.660 and 9.660 Å, with angles of 90.00, 90.00 and 90.00 degrees. Symmetry generates all atoms from Ba at (0.125, 0.125, 0.125), Ta at (0.000, 0.000, 0.500) and Rh at (0.250, 0.250, 0.750).

13.
## BaTa2Rh (PBE)

Data for an optimized crystal structure of BaTa2Rh.

The space group is Pmmm (No. 47) and the conventional cell measures 3.299, 4.851 and 5.303 Å, with angles of 90.00, 90.00 and 90.00 degrees. Symmetry generates all atoms from Ba at (0.000, 0.000, 0.000), Ta at (0.000, 0.500, 0.500), Ta at (0.500, 0.000, 0.500) and Rh at (0.500, 0.500, 0.000).

14.
## Ba3TaRh (PBE)

Data for an optimized crystal structure of Ba3TaRh.

The space group is Pm-3m (No. 221) and the conventional cell measures 5.922, 5.922 and 5.922 Å, with angles of 90.00, 90.00 and 90.00 degrees. Symmetry generates all atoms from Ba at (0.000, 0.000, 0.500), Ta at (0.500, 0.500, 0.500) and Rh at (0.000, 0.000, 0.000).

15.
## BaTa2Rh (PBE)

Data for an optimized crystal structure of BaTa2Rh.

The space group is I4_1/amd (No. 141, origin choice 2) and the conventional cell measures 5.246, 5.246 and 17.666 Å, with angles of 90.00, 90.00 and 90.00 degrees. Symmetry generates all atoms from Ba at (0.000, 0.250, 0.375), Ta at (0.000, 0.000, 0.000) and Rh at (0.000, 0.250, 0.875).

16.
## BaTa2Rh (PBE)

Data for an optimized crystal structure of BaTa2Rh.

The space group is P4/mmm (No. 123) and the conventional cell measures 4.044, 4.044 and 5.398 Å, with angles of 90.00, 90.00 and 90.00 degrees. Symmetry generates all atoms from Ba at (0.000, 0.000, 0.000), Ta at (0.000, 0.500, 0.500) and Rh at (0.500, 0.500, 0.000).

17.
## BaTa2Rh (PBE)

Data for an optimized crystal structure of BaTa2Rh.

The space group is I4/mmm (No. 139) and the conventional cell measures 4.064, 4.064 and 10.542 Å, with angles of 90.00, 90.00 and 90.00 degrees. Symmetry generates all atoms from Ba at (0.000, 0.000, 0.000), Ta at (0.000, 0.500, 0.250) and Rh at (0.000, 0.000, 0.500).

18.
## BaTa2Rh (PBE)

Data for an optimized crystal structure of BaTa2Rh.

The space group is Cm (No. 8) and the conventional cell measures 9.836, 3.134 and 6.620 Å, with angles of 90.00, 101.88 and 90.00 degrees. Symmetry generates all atoms from Ba at (0.000, 0.000, 0.000), Ta at (0.027, 0.500, 0.523), Ta at (0.299, 0.500, 0.373) and Rh at (0.239, 0.000, 0.662).

19.
## BaTaRh4 (PBE)

Data for an optimized crystal structure of BaTaRh4.

The space group is F-43m (No. 216) and the conventional cell measures 7.570, 7.570 and 7.570 Å, with angles of 90.00, 90.00 and 90.00 degrees. Symmetry generates all atoms from Ba at (0.000, 0.000, 0.000), Ta at (0.250, 0.250, 0.250) and Rh at (0.124, 0.124, 0.624).

20.
## BaTa2Rh (PBE)

Data for an optimized crystal structure of BaTa2Rh.

The space group is R3m (No. 160, hexagonal axes) and the conventional cell measures 3.2018, 3.2018 and 30.0094 Å, with angles of 90.00, 90.00 and 120.00 degrees. Symmetry generates all atoms from Ba at (0.0000, 0.0000, 0.0000), Ta at (0.0000, 0.0000, 0.2298), Ta at (0.0000, 0.0000, 0.4905) and Rh at (0.0000, 0.0000, 0.7628).

Number 1: DOS at the Fermi energy 1.12 states/eV per atom, ΔH_f (0 K) -0.131 eV/atom. Number 2: DOS at the Fermi energy 0.67 states/eV per atom, ΔH_f (0 K) -0.142 eV/atom. Number 3: DOS at the Fermi energy 0.84 states/eV per atom, ΔH_f (0 K) -0.228 eV/atom. Number 4: DOS at the Fermi energy 1.50 states/eV per atom, ΔH_f (0 K) -0.179 eV/atom. Number 5: DOS at the Fermi energy 0.91 states/eV per atom, ΔH_f (0 K) -0.223 eV/atom. Number 6: DOS at the Fermi energy 0.96 states/eV per atom, ΔH_f (0 K) -0.120 eV/atom. Number 7: DOS at the Fermi energy 0.66 states/eV per atom, ΔH_f (0 K) -0.169 eV/atom. Number 8: DOS at the Fermi energy 0.99 states/eV per atom, ΔH_f (0 K) -0.339 eV/atom. Number 9: DOS at the Fermi energy 1.10 states/eV per atom, ΔH_f (0 K) -0.052 eV/atom. Number 10: DOS at the Fermi energy 0.76 states/eV per atom, ΔH_f (0 K) -0.144 eV/atom. Number 11: DOS at the Fermi energy 0.92 states/eV per atom, ΔH_f (0 K) -0.034 eV/atom. Number 12: DOS at the Fermi energy 1.07 states/eV per atom, ΔH_f (0 K) 1.392 eV/atom. Number 13: DOS at the Fermi energy 1.18 states/eV per atom, ΔH_f (0 K) 0.815 eV/atom. Number 14: DOS at the Fermi energy 1.24 states/eV per atom, ΔH_f (0 K) 0.835 eV/atom. Number 15: DOS at the Fermi energy 1.19 states/eV per atom, ΔH_f (0 K) 0.937 eV/atom. Number 16: DOS at the Fermi energy 1.01 states/eV per atom, ΔH_f (0 K) 0.931 eV/atom. Number 17: DOS at the Fermi energy 0.98 states/eV per atom, ΔH_f (0 K) 0.904 eV/atom. Number 18: DOS at the Fermi energy 1.28 states/eV per atom, ΔH_f (0 K) 0.475 eV/atom. Number 19: DOS at the Fermi energy 0.73 states/eV per atom, ΔH_f (0 K) 0.177 eV/atom. Number 20: DOS at the Fermi energy 0.94 states/eV per atom, ΔH_f (0 K) 0.472 eV/atom.